(1)
Below is a geometry-optimized TcMoRu4 structure, with properties calculated at the GGA-PBE level.

Properties
Formation energy = -2.89 kJ per mole of atoms
Uncorrected energy = -9.747 eV per atom
Distance to the lowest polymorph of the same formula = 0 meV per atom
Space group = Amm2
Density of states at the Fermi level = 6.3 states/eV/cell

abc: 2.7544 4.3622 7.2748
angles: 90.00 100.92 90.00
With the nearest neighbours (Å) after each atom.
Element x y z (fractional)
1 Ru 0.9451 0.0027 0.1351  4 Tc 2.69, 6 Ru 2.70-2.75, 2 Mo 2.79
2 Mo 0.6139 0.0027 0.4746  10 Ru 2.70-2.79, 2 Mo 2.75
3 Ru 0.7262 0.5027 0.6975  2 Mo 2.70, 8 Ru 2.70-2.75, 2 Tc 2.75
4 Ru 0.2819 0.0027 0.8097  2 Tc 2.69, 8 Ru 2.70-2.75, 2 Mo 2.76
5 Tc 0.3928 0.5027 0.0300  10 Ru 2.69-2.76, 2 Tc 2.75
6 Ru 0.0592 0.5027 0.3642  4 Mo 2.70, 6 Ru 2.73-2.75, 2 Tc 2.76

=====

(2)
Below is a geometry-optimized TcMoRu2 structure, with properties calculated at the GGA-PBE level.

Properties
Formation energy = 3.41 kJ per mole of atoms
Uncorrected energy = -9.902 eV per atom
Distance to the lowest polymorph of the same formula = 11 meV per atom
Space group = Pmmm
Density of states at the Fermi level = 3.9 states/eV/cell

abc: 2.7465 3.8505 5.5099
angles: 90.00 90.00 90.00
With the nearest neighbours (Å) after each atom.
Element x y z (fractional)
1 Mo 0.5000 0.5000 0.7500  2 Mo 2.75, 2 Tc 2.75, 8 Ru 2.76
2 Ru 0.0000 0.0000 0.4933  4 Ru 2.68-2.83, 4 Tc 2.72, 4 Mo 2.76
3 Ru 0.0000 0.0000 0.0067  4 Ru 2.68-2.83, 4 Tc 2.72, 4 Mo 2.76
4 Tc 0.5000 0.5000 0.2500  8 Ru 2.72, 2 Tc 2.75, 2 Mo 2.75

=====

(3)
Below is a geometry-optimized TcMoRu6 structure, with properties calculated at the GGA-PBE level.

Properties
Formation energy = 3.29 kJ per mole of atoms
Uncorrected energy = -9.572 eV per atom
Space group = P4/mmm
Density of states at the Fermi level = 9.4 states/eV/cell

abc: 3.8550 5.4363 5.4363
angles: 90.00 90.00 90.00
With the nearest neighbours (Å) after each atom.
Element x y z (fractional)
1 Ru 0.0000 0.3786 0.1287  8 Ru 2.68-2.76, 2 Tc 2.70, 2 Mo 2.74
2 Ru 0.0000 0.3786 0.6214  8 Ru 2.68-2.76, 2 Tc 2.70, 2 Mo 2.74
3 Ru 0.0000 0.8713 0.6214  8 Ru 2.68-2.76, 2 Tc 2.70, 2 Mo 2.74
4 Ru 0.0000 0.8713 0.1287  8 Ru 2.68-2.76, 2 Tc 2.70, 2 Mo 2.74
5 Ru 0.5000 0.1250 0.3750  2 Tc 2.72, 2 Mo 2.72, 8 Ru 2.72
6 Tc 0.5000 0.6251 0.3749  12 Ru 2.70-2.72
7 Ru 0.5000 0.6250 0.8750  2 Tc 2.72, 2 Mo 2.72, 8 Ru 2.72
8 Mo 0.5000 0.1250 0.8750  12 Ru 2.72-2.74